TmCd4Pt5: relaxed, GGA-PBE.

Values from the calculation:
The value obtained for the uncorrected energy is -0.16019 hartree per atom. The density of states at the Fermi level comes out at 3.2 states/eV/f.u. Its space group is P4/mmm (123). Its calculated formation energy is -0.53 eV per atom.

Structure (CIF):
```
data_TmCd4Pt5
_cell_length_a 3.492
_cell_length_b 3.492
_cell_length_c 14.973
_cell_angle_alpha 90.00
_cell_angle_beta 90.00
_cell_angle_gamma 90.00
_space_group_name_H-M_alt 'P 1'
_space_group_IT_number 1
loop_
_space_group_symop_operation_xyz
'x,y,z'
loop_
_atom_site_label
_atom_site_fract_x
_atom_site_fract_y
_atom_site_fract_z
Tm1 0.000 0.000 0.000
Cd1 0.000 0.000 0.207
Cd2 0.000 0.000 0.402
Cd3 0.000 0.000 0.598
Cd4 0.000 0.000 0.793
Pt1 0.500 0.500 0.103
Pt2 0.500 0.500 0.301
Pt3 0.500 0.500 0.500
Pt4 0.500 0.500 0.699
Pt5 0.500 0.500 0.897
```